This record from Alexandria describes a geometry-optimized MgAuN2 structure. The functional is PBEsol.

Its mass density is 7.51 g cm⁻³. The calculation puts the density of states at the Fermi level at 0.42 states/eV/atom. Its uncorrected formation energy is 822 meV per atom.

It has space group R-3m (No. 166, hexagonal axes), with a = 3.2554 Å, b = 3.2554 Å, c = 18.0207 Å, α = 90.00°, β = 90.00° and γ = 120.00°. The inequivalent atoms are Mg at (0.0000, 0.0000, 0.0000), Au at (0.0000, 0.0000, 0.5000) and N at (0.0000, 0.0000, 0.1120).